First-principles (PBE) data for crystalline Li6La3Bi5 at its relaxed geometry, as listed in Alexandria.

The calculation puts the energy of formation at -708 meV per atom. The value obtained for the total magnetic moment is 0.000 Bohr magnetons per cell.

It has space group Pmmn (No. 59, origin choice 2), with a = 4.627 Å, b = 14.102 Å, c = 10.893 Å, α = 90.00°, β = 90.00° and γ = 90.00°. The distinct sites, in fractional coordinates, are Li at (0.250, 0.071, 0.101), Li at (0.250, 0.250, 0.512), Li at (0.250, 0.250, 0.971), Li at (0.250, 0.590, 0.494), La at (0.250, 0.073, 0.759), La at (0.250, 0.750, 0.755), Bi at (0.250, 0.088, 0.353), Bi at (0.250, 0.616, 0.012) and Bi at (0.250, 0.750, 0.320).